Density functional theory data (PBE-GGA) for crystalline Ta2TlZn at its relaxed geometry.

```
data_Ta2TlZn
_chemical_formula_sum 'Ta6 Tl3 Zn3'
_space_group_name_H-M_alt 'R 3 m'
_space_group_IT_number 160
_space_group_name_Hall 'R 3 -2"'
_cell_length_a 3.0205
_cell_length_b 3.0205
_cell_length_c 29.6746
_cell_angle_alpha 90.00
_cell_angle_beta 90.00
_cell_angle_gamma 120.00
loop_
_atom_site_label
_atom_site_type_symbol
_atom_site_fract_x
_atom_site_fract_y
_atom_site_fract_z
Ta1 Ta 0.0000 0.0000 0.0000
Ta2 Ta 0.0000 0.0000 0.2498
Tl1 Tl 0.0000 0.0000 0.7553
Zn1 Zn 0.0000 0.0000 0.5074
```

Summary:
calculated formation energy	1.7	eV/f.u.
ρ	13.42	Mg/m³